No. 1
The following is a PBE-GGA calculation of PrBeTl after structural relaxation, from the Open Quantum Materials Database.

The structure in POSCAR format:
```
PrBeTl
1.0
0.0000 3.4395 3.4395
3.4395 0.0000 3.4395
3.4395 3.4395 0.0000
Pr Tl Be
1 1 1
Cartesian
5.1593 5.1593 5.1593
0.0000 0.0000 0.0000
1.7198 1.7198 1.7198
```

## Properties
magnetic moment: 0.0 μB per cell
ΔE to the lowest computed polymorph: 326 meV/atom
mass density: 7.2 g/cm³



No. 2
The following is a PBE-GGA calculation of PrBeTl after structural relaxation, from the Open Quantum Materials Database.

The structure in POSCAR format:
```
PrBeTl
1.0
4.6621 -0.1140 0.3837
1.9875 -0.6761 4.1818
2.1727 -4.0380 0.9324
Be Tl Pr
1 1 1
Cartesian
0.0000 0.0000 0.0000
6.6167 -3.6211 4.1235
2.2056 -1.2070 1.3745
```

## Properties
magnetic moment: 0.0 μB per cell
ΔE to the lowest computed polymorph: 0 meV/atom
mass density: 8.1 g/cm³



No. 3
The following is a PBE-GGA calculation of PrBeTl after structural relaxation, from the Open Quantum Materials Database.

The structure in POSCAR format:
```
PrBeTl
1.0
1.6263 -4.1311 2.2658
-2.8715 -4.0725 0.1184
1.2378 -4.0016 -2.7018
Pr Be Tl
1 1 1
Cartesian
0.0000 0.0000 0.0000
-0.0019 -3.0513 -0.0794
-0.0056 -9.1539 -0.2381
```

## Properties
magnetic moment: 0.0 μB per cell
ΔE to the lowest computed polymorph: 647 meV/atom
mass density: 6.7 g/cm³



No. 4
The following is a PBE-GGA calculation of PrTmBe after structural relaxation, from the Open Quantum Materials Database.

The structure in POSCAR format:
```
PrTmBe
1.0
0.7889 -4.2368 -2.1125
-2.4360 -1.1987 -3.9579
2.2476 -0.1876 -4.2366
Be Tm Pr
1 1 1
Cartesian
0.1501 -1.4058 -2.5767
0.0000 0.0000 0.0000
0.4504 -4.2173 -7.7302
```

## Properties
magnetic moment: 0.0 μB per cell
ΔE to the lowest computed polymorph: 0 meV/atom
mass density: 6.8 g/cm³



No. 5
The following is a PBE-GGA calculation of PrUBe after structural relaxation, from the Open Quantum Materials Database.

The structure in POSCAR format:
```
PrUBe
1.0
3.4353 -2.6656 1.8323
0.0860 -4.6424 -0.8396
3.3206 -1.8282 -2.8099
Pr Be U
1 1 1
Cartesian
1.7105 -2.2841 -0.4543
0.0000 0.0000 0.0000
5.1315 -6.8522 -1.3628
```

## Properties
magnetic moment: 2.7 μB per cell
ΔE to the lowest computed polymorph: 0 meV/atom
mass density: 8.7 g/cm³



No. 6
The following is a PBE-GGA calculation of PrBeW after structural relaxation, from the Open Quantum Materials Database.

The structure in POSCAR format:
```
PrBeW
1.0
1.9564 -4.2156 0.1125
0.9121 -2.0311 4.0810
-2.4865 -3.6806 1.3717
W Be Pr
1 1 1
Cartesian
0.2865 -7.4455 4.1739
0.0955 -2.4818 1.3913
0.0000 0.0000 0.0000
```

## Properties
magnetic moment: 2.9 μB per cell
ΔE to the lowest computed polymorph: 1003 meV/atom
mass density: 7.8 g/cm³